# PBE Rb2InPb4Au3, optimized geometry
data_Rb2InPb4Au3
_space_group_name_H-M_alt 'P -4 m 2'
_space_group_IT_number 115
_space_group_name_Hall 'P -4 -2'
_cell_length_a 5.096
_cell_length_b 5.096
_cell_length_c 12.082
_cell_angle_alpha 90.00
_cell_angle_beta 90.00
_cell_angle_gamma 90.00
loop_
_atom_site_label
_atom_site_fract_x
_atom_site_fract_y
_atom_site_fract_z
Rb1 0.000 0.500 0.247
In1 0.500 0.500 0.000
Pb1 0.000 0.000 0.500
Pb2 0.000 0.500 0.865
Pb3 0.500 0.500 0.500
Au1 0.000 0.000 0.000
Au2 0.000 0.500 0.626
# Calculated volume in Å³ per atom: 31.37
# Formation enthalpy at 0 K in eV per atom: -0.162
# E_tot in eV/atom: -3.10